This record from Alexandria via LeMat-Bulk describes crystalline TiZnPt at its relaxed geometry. The functional is PBE.

Summary:
* DFT formation energy: -0.71 eV/atom
* energy: -5.782 eV per atom
* V: 93.5 Å³/cell

a = 4.4539 Å, b = 5.4478 Å, c = 4.4502 Å
α = 90.01°, β = 119.98°, γ = 90.17°
Sites, in units of the cell vectors:
Zn  0.6356  0.3506  0.0430
Zn  0.6356  0.8506  0.0430
Pt  0.9663  0.5856  0.7082
Pt  0.3048  0.1162  0.3777
Ti  0.9707  0.0615  0.7106
Ti  0.3005  0.6403  0.3753

=====

This record from Alexandria via LeMat-Bulk describes crystalline Rb2In2I at its relaxed geometry. The functional is PBE.

Summary:
* ΔE_f (raw): -0.0336 eV per atom
* energy: -1.826 eV per atom
* V: 253.2 Å³/cell
* relative energy among the computed polymorphs: 52.0 kJ/mol of atoms

a = 5.7478 Å, b = 5.7478 Å, c = 8.6756 Å
α = 70.65°, β = 70.65°, γ = 90.00°
Sites, in units of the cell vectors:
I  0.0000  0.0000  0.0000
Rb  0.7500  0.2500  0.5000
Rb  0.2500  0.7500  0.5000
In  0.4090  0.4090  0.1819
In  0.5910  0.5910  0.8181

=====

| no. | N(E_F) (states/eV/f.u.) |
| --- | --- |
| 1 | 1.714 |
| 2 | 3.730 |